1 | Ba2LiZnPd | PBE | optimized geometry

```
data_Ba2LiZnPd
_symmetry_space_group_name_H-M 'P 4/m m m'
_symmetry_Int_Tables_number 123
_symmetry_space_group_name_Hall '-P 4 2'
_cell_length_a 6.166
_cell_length_b 6.166
_cell_length_c 4.999
_cell_angle_alpha 90.00
_cell_angle_beta 90.00
_cell_angle_gamma 90.00
loop_
_atom_site_label
_atom_site_fract_x
_atom_site_fract_y
_atom_site_fract_z
Ba1 0.000 0.500 0.000
Li1 0.000 0.000 0.500
Zn1 0.500 0.500 0.500
Pd1 0.500 0.500 0.000
```

Its calculated volume is 38.0 Å³ per atom.

=====

2 | Ba2LiZnPd | PBE | optimized geometry

```
data_Ba2LiZnPd
_symmetry_space_group_name_H-M 'P 4/m m m'
_symmetry_Int_Tables_number 123
_symmetry_space_group_name_Hall '-P 4 2'
_cell_length_a 6.139
_cell_length_b 6.139
_cell_length_c 4.886
_cell_angle_alpha 90.00
_cell_angle_beta 90.00
_cell_angle_gamma 90.00
loop_
_atom_site_label
_atom_site_fract_x
_atom_site_fract_y
_atom_site_fract_z
Ba1 0.000 0.500 0.000
Li1 0.000 0.000 0.500
Zn1 0.500 0.500 0.500
Pd1 0.000 0.000 0.000
```

Its calculated volume is 36.8 Å³ per atom.

=====

Stability check: which of them is least stable? 2.

=====

1 | Ba2LiPr | PBE | optimized geometry

```
data_Ba2LiPr
_symmetry_space_group_name_H-M 'P 4/m m m'
_symmetry_Int_Tables_number 123
_symmetry_space_group_name_Hall '-P 4 2'
_cell_length_a 4.138
_cell_length_b 4.138
_cell_length_c 10.230
_cell_angle_alpha 90.00
_cell_angle_beta 90.00
_cell_angle_gamma 90.00
loop_
_atom_site_label
_atom_site_fract_x
_atom_site_fract_y
_atom_site_fract_z
Ba1 0.000 0.000 0.226
Li1 0.500 0.500 0.000
Pr1 0.500 0.500 0.500
```

Its calculated volume is 43.8 Å³ per atom.

=====

2 | Ba2LiPr | PBE | optimized geometry

```
data_Ba2LiPr
_symmetry_space_group_name_H-M 'R -3 m'
_symmetry_Int_Tables_number 166
_symmetry_space_group_name_Hall '-R 3 2"'
_cell_length_a 3.8786
_cell_length_b 3.8786
_cell_length_c 40.3240
_cell_angle_alpha 90.00
_cell_angle_beta 90.00
_cell_angle_gamma 120.00
loop_
_atom_site_label
_atom_site_fract_x
_atom_site_fract_y
_atom_site_fract_z
Ba1 0.0000 0.0000 0.0917
Li1 0.0000 0.0000 0.5000
Pr1 0.0000 0.0000 0.0000
```

Its calculated volume is 43.8 Å³ per atom.

=====

Stability check: which of them is least stable? 2.

=====

1 | BaLiPr2 | PBE | optimized geometry

```
data_BaLiPr2
_symmetry_space_group_name_H-M 'P 4/m m m'
_symmetry_Int_Tables_number 123
_symmetry_space_group_name_Hall '-P 4 2'
_cell_length_a 3.927
_cell_length_b 3.927
_cell_length_c 9.634
_cell_angle_alpha 90.00
_cell_angle_beta 90.00
_cell_angle_gamma 90.00
loop_
_atom_site_label
_atom_site_fract_x
_atom_site_fract_y
_atom_site_fract_z
Ba1 0.000 0.000 0.000
Li1 0.000 0.000 0.500
Pr1 0.500 0.500 0.320
```

Its calculated volume is 37.1 Å³ per atom.

=====

2 | BaLiPr2 | PBE | optimized geometry

```
data_BaLiPr2
_symmetry_space_group_name_H-M 'R -3 m'
_symmetry_Int_Tables_number 166
_symmetry_space_group_name_Hall '-R 3 2"'
_cell_length_a 3.6597
_cell_length_b 3.6597
_cell_length_c 38.2548
_cell_angle_alpha 90.00
_cell_angle_beta 90.00
_cell_angle_gamma 120.00
loop_
_atom_site_label
_atom_site_fract_x
_atom_site_fract_y
_atom_site_fract_z
Ba1 0.0000 0.0000 0.0000
Li1 0.0000 0.0000 0.5000
Pr1 0.0000 0.0000 0.0968
```

Its calculated volume is 37.0 Å³ per atom.

=====

Stability check: which of them is least stable? 2.

=====

1 | Ba3LiPt | PBE | optimized geometry

```
data_Ba3LiPt
_symmetry_space_group_name_H-M 'C 1 2/c 1'
_symmetry_Int_Tables_number 15
_cell_length_a 15.134
_cell_length_b 8.751
_cell_length_c 15.116
_cell_angle_alpha 90.00
_cell_angle_beta 108.44
_cell_angle_gamma 90.00
loop_
_symmetry_equiv_pos_as_xyz
'x,y,z'
'-x,-y,-z'
'-x,y,-z+1/2'
'x,-y,z+1/2'
'x+1/2,y+1/2,z'
'-x+1/2,-y+1/2,-z'
'-x+1/2,y+1/2,-z+1/2'
'x+1/2,-y+1/2,z+1/2'
loop_
_atom_site_label
_atom_site_fract_x
_atom_site_fract_y
_atom_site_fract_z
Ba1 0.086 0.250 0.086
Ba2 0.146 0.000 0.354
Ba3 0.146 0.500 0.355
Li1 0.127 0.250 0.626
Pt1 0.000 0.250 0.250
Pt2 0.250 0.250 0.000
```

Its calculated volume is 47.5 Å³ per atom.

=====

2 | Ba3LiPt | PBE | optimized geometry

```
data_Ba3LiPt
_symmetry_space_group_name_H-M 'P m -3 m'
_symmetry_Int_Tables_number 221
_symmetry_space_group_name_Hall '-P 4 2 3'
_cell_length_a 6.268
_cell_length_b 6.268
_cell_length_c 6.268
_cell_angle_alpha 90.00
_cell_angle_beta 90.00
_cell_angle_gamma 90.00
loop_
_atom_site_label
_atom_site_fract_x
_atom_site_fract_y
_atom_site_fract_z
Ba1 0.000 0.000 0.500
Li1 0.500 0.500 0.500
Pt1 0.000 0.000 0.000
```

Its calculated volume is 49.3 Å³ per atom.

=====

Stability check: which of them is least stable? 2.

=====

1 | BaLi4Pt | PBE | optimized geometry

```
data_BaLi4Pt
_symmetry_space_group_name_H-M 'P 4/m m m'
_symmetry_Int_Tables_number 123
_symmetry_space_group_name_Hall '-P 4 2'
_cell_length_a 4.930
_cell_length_b 4.930
_cell_length_c 7.444
_cell_angle_alpha 90.00
_cell_angle_beta 90.00
_cell_angle_gamma 90.00
loop_
_atom_site_label
_atom_site_fract_x
_atom_site_fract_y
_atom_site_fract_z
Ba1 0.000 0.000 0.000
Li1 0.000 0.500 0.500
Li2 0.500 0.500 0.186
Pt1 0.500 0.500 0.500
```

Its calculated volume is 30.2 Å³ per atom.

=====

2 | BaLi4Pt | PBE | optimized geometry

```
data_BaLi4Pt
_symmetry_space_group_name_H-M 'F -4 3 m'
_symmetry_Int_Tables_number 216
_symmetry_space_group_name_Hall 'F -4 2 3'
_cell_length_a 7.921
_cell_length_b 7.921
_cell_length_c 7.921
_cell_angle_alpha 90.00
_cell_angle_beta 90.00
_cell_angle_gamma 90.00
loop_
_atom_site_label
_atom_site_fract_x
_atom_site_fract_y
_atom_site_fract_z
Ba1 0.000 0.000 0.000
Li1 0.121 0.121 0.621
Pt1 0.250 0.250 0.250
```

Its calculated volume is 20.7 Å³ per atom.

=====

3 | BaLi4Pt | PBE | optimized geometry

```
data_BaLi4Pt
_symmetry_space_group_name_H-M 'P -1'
_symmetry_Int_Tables_number 2
_cell_length_a 5.538
_cell_length_b 6.803
_cell_length_c 9.651
_cell_angle_alpha 110.39
_cell_angle_beta 106.62
_cell_angle_gamma 90.19
loop_
_symmetry_equiv_pos_as_xyz
'x,y,z'
'-x,-y,-z'
loop_
_atom_site_label
_atom_site_fract_x
_atom_site_fract_y
_atom_site_fract_z
Ba1 0.218 0.218 0.437
Li1 0.001 0.801 0.999
Li2 0.122 0.622 0.244
Li3 0.418 0.165 0.837
Li4 0.419 0.672 0.836
Pt1 0.257 0.500 0.000
```

Its calculated volume is 27.0 Å³ per atom.

=====

Stability check: which of them is least stable? 1.

=====

1 | BaLi2Pt2 | PBE | optimized geometry

```
data_BaLi2Pt2
_symmetry_space_group_name_H-M 'P 4/m b m'
_symmetry_Int_Tables_number 127
_symmetry_space_group_name_Hall '-P 4 2ab'
_cell_length_a 8.033
_cell_length_b 8.033
_cell_length_c 3.000
_cell_angle_alpha 90.00
_cell_angle_beta 90.00
_cell_angle_gamma 90.00
loop_
_atom_site_label
_atom_site_fract_x
_atom_site_fract_y
_atom_site_fract_z
Ba1 0.000 0.000 0.000
Li1 0.121 0.379 0.500
Pt1 0.162 0.662 0.000
```

Its calculated volume is 19.4 Å³ per atom.

=====

2 | BaLi2Pt2 | PBE | optimized geometry

```
data_BaLi2Pt2
_symmetry_space_group_name_H-M 'P 4/m b m'
_symmetry_Int_Tables_number 127
_symmetry_space_group_name_Hall '-P 4 2ab'
_cell_length_a 7.872
_cell_length_b 7.872
_cell_length_c 3.080
_cell_angle_alpha 90.00
_cell_angle_beta 90.00
_cell_angle_gamma 90.00
loop_
_atom_site_label
_atom_site_fract_x
_atom_site_fract_y
_atom_site_fract_z
Ba1 0.000 0.000 0.000
Li1 0.114 0.386 0.000
Pt1 0.172 0.672 0.500
```

Its calculated volume is 19.1 Å³ per atom.

=====

Stability check: which of them is least stable? 1.

=====

1 | BaLiPt3 | PBE | optimized geometry

```
data_BaLiPt3
_symmetry_space_group_name_H-M 'P m -3 m'
_symmetry_Int_Tables_number 221
_symmetry_space_group_name_Hall '-P 4 2 3'
_cell_length_a 5.492
_cell_length_b 5.492
_cell_length_c 5.492
_cell_angle_alpha 90.00
_cell_angle_beta 90.00
_cell_angle_gamma 90.00
loop_
_atom_site_label
_atom_site_fract_x
_atom_site_fract_y
_atom_site_fract_z
Ba1 0.000 0.000 0.000
Li1 0.500 0.500 0.500
Pt1 0.000 0.000 0.500
```

Its calculated volume is 33.1 Å³ per atom.

=====

2 | BaLiPt3 | PBE | optimized geometry

```
data_BaLiPt3
_symmetry_space_group_name_H-M 'P m -3 m'
_symmetry_Int_Tables_number 221
_symmetry_space_group_name_Hall '-P 4 2 3'
_cell_length_a 4.612
_cell_length_b 4.612
_cell_length_c 4.612
_cell_angle_alpha 90.00
_cell_angle_beta 90.00
_cell_angle_gamma 90.00
loop_
_atom_site_label
_atom_site_fract_x
_atom_site_fract_y
_atom_site_fract_z
Ba1 0.000 0.000 0.000
Li1 0.500 0.500 0.500
Pt1 0.000 0.500 0.500
```

Its calculated volume is 19.6 Å³ per atom.

=====

Stability check: which of them is least stable? 1.

=====

1 | BaLiPt2 | PBE | optimized geometry

```
data_BaLiPt2
_symmetry_space_group_name_H-M 'F m -3 m'
_symmetry_Int_Tables_number 225
_symmetry_space_group_name_Hall '-F 4 2 3'
_cell_length_a 7.141
_cell_length_b 7.141
_cell_length_c 7.141
_cell_angle_alpha 90.00
_cell_angle_beta 90.00
_cell_angle_gamma 90.00
loop_
_atom_site_label
_atom_site_fract_x
_atom_site_fract_y
_atom_site_fract_z
Ba1 0.000 0.000 0.000
Li1 0.000 0.000 0.500
Pt1 0.250 0.250 0.250
```

Its calculated volume is 22.8 Å³ per atom.

=====

2 | BaLiPt2 | PBE | optimized geometry

```
data_BaLiPt2
_symmetry_space_group_name_H-M 'I -4 m 2'
_symmetry_Int_Tables_number 119
_symmetry_space_group_name_Hall 'I -4 -2'
_cell_length_a 4.581
_cell_length_b 4.581
_cell_length_c 8.155
_cell_angle_alpha 90.00
_cell_angle_beta 90.00
_cell_angle_gamma 90.00
loop_
_atom_site_label
_atom_site_fract_x
_atom_site_fract_y
_atom_site_fract_z
Ba1 0.000 0.000 0.000
Li1 0.000 0.500 0.750
Pt1 0.000 0.000 0.500
Pt2 0.000 0.500 0.250
```

Its calculated volume is 21.4 Å³ per atom.

=====

Stability check: which of them is least stable? 1.

=====

1 | BaLiPt2 | PBE | optimized geometry

```
data_BaLiPt2
_symmetry_space_group_name_H-M 'I m m m'
_symmetry_Int_Tables_number 71
_symmetry_space_group_name_Hall '-I 2 2'
_cell_length_a 4.414
_cell_length_b 4.430
_cell_length_c 8.704
_cell_angle_alpha 90.00
_cell_angle_beta 90.00
_cell_angle_gamma 90.00
loop_
_atom_site_label
_atom_site_fract_x
_atom_site_fract_y
_atom_site_fract_z
Ba1 0.000 0.000 0.000
Li1 0.000 0.000 0.500
Pt1 0.000 0.500 0.250
```

Its calculated volume is 21.3 Å³ per atom.

=====

2 | BaLiPt2 | PBE | optimized geometry

```
data_BaLiPt2
_symmetry_space_group_name_H-M 'P m m m'
_symmetry_Int_Tables_number 47
_cell_length_a 3.099
_cell_length_b 3.877
_cell_length_c 7.009
_cell_angle_alpha 90.00
_cell_angle_beta 90.00
_cell_angle_gamma 90.00
loop_
_symmetry_equiv_pos_as_xyz
'x,y,z'
'-x,-y,-z'
'-x,-y,z'
'x,y,-z'
'x,-y,-z'
'-x,y,z'
'-x,y,-z'
'x,-y,z'
loop_
_atom_site_label
_atom_site_fract_x
_atom_site_fract_y
_atom_site_fract_z
Ba1 0.000 0.000 0.000
Li1 0.000 0.000 0.500
Pt1 0.500 0.500 0.307
```

Its calculated volume is 21.1 Å³ per atom.

=====

Stability check: which of them is least stable? 1.

=====

1 | BaLiPt2 | PBE | optimized geometry

```
data_BaLiPt2
_symmetry_space_group_name_H-M 'R -3 m'
_symmetry_Int_Tables_number 166
_symmetry_space_group_name_Hall '-R 3 2"'
_cell_length_a 4.5469
_cell_length_b 4.5469
_cell_length_c 16.5432
_cell_angle_alpha 90.00
_cell_angle_beta 90.00
_cell_angle_gamma 120.00
loop_
_atom_site_label
_atom_site_fract_x
_atom_site_fract_y
_atom_site_fract_z
Ba1 0.0000 0.0000 0.0000
Li1 0.0000 0.0000 0.5000
Pt1 0.0000 0.0000 0.1864
```

Its calculated volume is 24.7 Å³ per atom.

=====

2 | BaLiPt2 | PBE | optimized geometry

```
data_BaLiPt2
_symmetry_space_group_name_H-M 'C 1 m 1'
_symmetry_Int_Tables_number 8
_cell_length_a 7.908
_cell_length_b 4.523
_cell_length_c 6.012
_cell_angle_alpha 90.00
_cell_angle_beta 115.42
_cell_angle_gamma 90.00
loop_
_symmetry_equiv_pos_as_xyz
'x,y,z'
'x,-y,z'
'x+1/2,y+1/2,z'
'x+1/2,-y+1/2,z'
loop_
_atom_site_label
_atom_site_fract_x
_atom_site_fract_y
_atom_site_fract_z
Ba1 0.000 0.000 0.000
Li1 0.317 0.500 0.441
Pt1 0.024 0.500 0.568
Pt2 0.200 0.000 0.591
```

Its calculated volume is 24.3 Å³ per atom.

=====

3 | BaLiPt2 | PBE | optimized geometry

```
data_BaLiPt2
_symmetry_space_group_name_H-M 'I -4 2 d'
_symmetry_Int_Tables_number 122
_symmetry_space_group_name_Hall 'I -4 2bw'
_cell_length_a 5.054
_cell_length_b 5.054
_cell_length_c 16.686
_cell_angle_alpha 90.00
_cell_angle_beta 90.00
_cell_angle_gamma 90.00
loop_
_atom_site_label
_atom_site_fract_x
_atom_site_fract_y
_atom_site_fract_z
Ba1 0.000 0.000 0.000
Li1 0.000 0.000 0.500
Pt1 0.044 0.750 0.625
```

Its calculated volume is 26.6 Å³ per atom.

=====

4 | BaLiPt2 | PBE | optimized geometry

```
data_BaLiPt2
_symmetry_space_group_name_H-M 'C m m m'
_symmetry_Int_Tables_number 65
_symmetry_space_group_name_Hall '-C 2 2'
_cell_length_a 5.771
_cell_length_b 7.762
_cell_length_c 3.984
_cell_angle_alpha 90.00
_cell_angle_beta 90.00
_cell_angle_gamma 90.00
loop_
_atom_site_label
_atom_site_fract_x
_atom_site_fract_y
_atom_site_fract_z
Ba1 0.000 0.000 0.000
Li1 0.000 0.500 0.000
Pt1 0.250 0.250 0.500
```

Its calculated volume is 22.3 Å³ per atom.

=====

Stability check: which of them is least stable? 4.

=====

1 | BaLiPt2 | PBE | optimized geometry

```
data_BaLiPt2
_symmetry_space_group_name_H-M 'P 1 m 1'
_symmetry_Int_Tables_number 6
_cell_length_a 4.264
_cell_length_b 4.822
_cell_length_c 5.070
_cell_angle_alpha 90.00
_cell_angle_beta 90.07
_cell_angle_gamma 90.00
loop_
_symmetry_equiv_pos_as_xyz
'x,y,z'
'x,-y,z'
loop_
_atom_site_label
_atom_site_fract_x
_atom_site_fract_y
_atom_site_fract_z
Ba1 0.000 0.000 0.000
Li1 0.001 0.500 0.526
Pt1 0.501 0.000 0.463
Pt2 0.501 0.500 0.300
```

Its calculated volume is 26.1 Å³ per atom.

=====

2 | BaLiPt2 | PBE | optimized geometry

```
data_BaLiPt2
_symmetry_space_group_name_H-M 'P m m 2'
_symmetry_Int_Tables_number 25
_cell_length_a 3.043
_cell_length_b 4.235
_cell_length_c 6.568
_cell_angle_alpha 90.00
_cell_angle_beta 90.00
_cell_angle_gamma 90.00
loop_
_symmetry_equiv_pos_as_xyz
'x,y,z'
'-x,-y,z'
'-x,y,z'
'x,-y,z'
loop_
_atom_site_label
_atom_site_fract_x
_atom_site_fract_y
_atom_site_fract_z
Ba1 0.000 0.000 0.000
Li1 0.500 0.500 0.365
Pt1 0.000 0.000 0.499
Pt2 0.500 0.500 0.728
```

Its calculated volume is 21.2 Å³ per atom.

=====

Stability check: which of them is least stable? 2.

=====

1 | BaLi2SiPt | PBE | optimized geometry

```
data_BaLi2SiPt
_symmetry_space_group_name_H-M 'P 4/m m m'
_symmetry_Int_Tables_number 123
_symmetry_space_group_name_Hall '-P 4 2'
_cell_length_a 4.994
_cell_length_b 4.994
_cell_length_c 4.611
_cell_angle_alpha 90.00
_cell_angle_beta 90.00
_cell_angle_gamma 90.00
loop_
_atom_site_label
_atom_site_fract_x
_atom_site_fract_y
_atom_site_fract_z
Ba1 0.000 0.000 0.000
Li1 0.000 0.500 0.500
Si1 0.500 0.500 0.000
Pt1 0.500 0.500 0.500
```

Its calculated volume is 23.0 Å³ per atom.

=====

2 | BaLi2SiPt | PBE | optimized geometry

```
data_BaLi2SiPt
_symmetry_space_group_name_H-M 'P 4/m m m'
_symmetry_Int_Tables_number 123
_symmetry_space_group_name_Hall '-P 4 2'
_cell_length_a 4.931
_cell_length_b 4.931
_cell_length_c 4.705
_cell_angle_alpha 90.00
_cell_angle_beta 90.00
_cell_angle_gamma 90.00
loop_
_atom_site_label
_atom_site_fract_x
_atom_site_fract_y
_atom_site_fract_z
Ba1 0.000 0.000 0.000
Li1 0.000 0.500 0.500
Si1 0.500 0.500 0.500
Pt1 0.500 0.500 0.000
```

Its calculated volume is 22.9 Å³ per atom.

=====

Stability check: which of them is least stable? 2.